# 1
CsNpBi2O6: relaxed, GGA-PBE.

Values from the calculation:
As for the formation energy from raw total energies: -1.836 eV/atom. The space-group type is C2/c.

a = 7.6974 Å, b = 7.6974 Å, c = 6.7797 Å
α = 93.44°, β = 93.44°, γ = 95.06°
Element x y z (fractional)
Cs 0.0799 0.9201 0.7500
Cs 0.9201 0.0799 0.2500
Np 0.2961 0.7039 0.2500
Np 0.7039 0.2961 0.7500
Bi 0.2236 0.4392 0.6749
Bi 0.4392 0.2236 0.1749
Bi 0.5608 0.7764 0.8251
Bi 0.7764 0.5608 0.3251
O 0.0214 0.7133 0.3259
O 0.2347 0.6288 0.9653
O 0.2832 0.4098 0.3216
O 0.2867 0.9786 0.1741
O 0.3712 0.7653 0.5347
O 0.4098 0.2832 0.8216
O 0.5902 0.7168 0.1784
O 0.6288 0.2347 0.4653
O 0.7133 0.0214 0.8259
O 0.7168 0.5902 0.6784
O 0.7653 0.3712 0.0347
O 0.9786 0.2867 0.6741

# 2
Ca3ScRu: relaxed, GGA-PBE.

Values from the calculation:
The energy above the most stable polymorph in this dataset is 0 meV per atom. For the formation energy, the calculation gives 0.397 eV per atom. The space-group type is Pm-3m.

a = 5.4176 Å, b = 5.4176 Å, c = 5.4176 Å
α = 90.00°, β = 90.00°, γ = 90.00°
Element x y z (fractional)
Ca 0.0000 0.0000 0.5000
Ca 0.0000 0.5000 0.0000
Ca 0.5000 0.0000 0.0000
Sc 0.5000 0.5000 0.5000
Ru 0.0000 0.0000 0.0000

# 3
AgHF3: relaxed, GGA-PBE.

Values from the calculation:
The energy above the most stable polymorph in this dataset is 660 meV per atom. The space-group type is Pm-3m.

a = 3.5828 Å, b = 3.5828 Å, c = 3.5828 Å
α = 90.00°, β = 90.00°, γ = 90.00°
Element x y z (fractional)
Ag 0.0000 0.0000 0.0000
H 0.5000 0.5000 0.5000
F 0.0000 0.5000 0.5000
F 0.5000 0.0000 0.5000
F 0.5000 0.5000 0.0000

# 4
CsPrNdI6: relaxed, GGA-PBE.

Values from the calculation:
As for the formation energy from raw total energies: -1.289 eV/atom. The space-group type is Imma.

a = 11.5407 Å, b = 11.5407 Å, c = 11.5407 Å
α = 122.03°, β = 119.17°, γ = 88.98°
Element x y z (fractional)
Cs 0.3311 0.0811 0.2500
Cs 0.6689 0.9189 0.7500
Pr 0.0000 0.0000 0.5000
Pr 0.0000 0.5000 0.0000
Nd 0.0000 0.5000 0.5000
Nd 0.5000 0.5000 0.0000
I 0.0862 0.4192 0.2519
I 0.0862 0.8342 0.6670
I 0.0936 0.8436 0.2500
I 0.3165 0.5665 0.7500
I 0.3328 0.1658 0.7519
I 0.3328 0.5808 0.1670
I 0.6672 0.4192 0.8330
I 0.6672 0.8342 0.2481
I 0.6835 0.4335 0.2500
I 0.9064 0.1564 0.7500
I 0.9138 0.1658 0.3330
I 0.9138 0.5808 0.7481

# 5
Pu3Sb2Rh6: relaxed, GGA-PBE.

Values from the calculation:
As for the formation energy from raw total energies: -0.543 eV/atom. The space-group type is Im-3m.

a = 8.1626 Å, b = 8.1626 Å, c = 8.1626 Å
α = 109.47°, β = 109.47°, γ = 109.47°
Element x y z (fractional)
Pu 0.0000 0.2722 0.2722
Pu 0.0000 0.7278 0.7278
Pu 0.2722 0.0000 0.2722
Pu 0.2722 0.2722 0.0000
Pu 0.7278 0.0000 0.7278
Pu 0.7278 0.7278 0.0000
Sb 0.0000 0.0000 0.5000
Sb 0.0000 0.5000 0.0000
Sb 0.5000 0.0000 0.0000
Sb 0.5000 0.5000 0.5000
Rh 0.0000 0.3536 0.6464
Rh 0.0000 0.6464 0.3536
Rh 0.2928 0.6464 0.6464
Rh 0.3536 0.0000 0.6464
Rh 0.3536 0.3536 0.7072
Rh 0.3536 0.6464 0.0000
Rh 0.3536 0.7072 0.3536
Rh 0.6464 0.0000 0.3536
Rh 0.6464 0.2928 0.6464
Rh 0.6464 0.3536 0.0000
Rh 0.6464 0.6464 0.2928
Rh 0.7072 0.3536 0.3536

no.,total magnetization (μB per atom)
1,0.200
2,0.000
3,0.200
4,0.119
5,1.352